# 1
# NaZnBi3 GGA-PBE optimized geometry
# raw total energy = -2.1428 eV/atom
# DOS(E_F) = 0.4782 states/eV/atom
# spin magnetization = 0.00 μB/cell
# space group = No. 221
data_NaZnBi3
_space_group_name_H-M_alt 'P 1'
_space_group_IT_number 1
_cell_length_a 5.527
_cell_length_b 5.527
_cell_length_c 5.527
_cell_angle_alpha 90.00
_cell_angle_beta 90.00
_cell_angle_gamma 90.00
loop_
_space_group_symop_operation_xyz
'x,y,z'
loop_
_atom_site_label
_atom_site_fract_x
_atom_site_fract_y
_atom_site_fract_z
Na1 0.000 0.000 0.000
Zn1 0.500 0.500 0.500
Bi1 0.000 0.000 0.500
Bi2 0.000 0.500 0.000
Bi3 0.500 0.000 0.000


# 2
# TmHI2 GGA-PBE optimized geometry
# raw total energy = -3.8786 eV/atom
# DOS(E_F) = 0.0000 states/eV/atom
# spin magnetization = 0.00 μB/cell
# space group = No. 160
data_TmHI2
_space_group_name_H-M_alt 'P 1'
_space_group_IT_number 1
_cell_length_a 8.548
_cell_length_b 8.548
_cell_length_c 8.548
_cell_angle_alpha 26.72
_cell_angle_beta 26.72
_cell_angle_gamma 26.72
loop_
_space_group_symop_operation_xyz
'x,y,z'
loop_
_atom_site_label
_atom_site_fract_x
_atom_site_fract_y
_atom_site_fract_z
Tm1 0.000 0.000 0.000
H1 0.333 0.333 0.333
I1 0.582 0.582 0.582
I2 0.751 0.751 0.751


# 3
# Tb3Nd2Ho6Pb GGA-PBE optimized geometry
# raw total energy = -4.6176 eV/atom
# DOS(E_F) = 1.1044 states/eV/atom
# spin magnetization = 0.00 μB/cell
# space group = No. 12
data_Tb3Nd2Ho6Pb
_space_group_name_H-M_alt 'P 1'
_space_group_IT_number 1
_cell_length_a 6.105
_cell_length_b 6.105
_cell_length_c 11.745
_cell_angle_alpha 94.99
_cell_angle_beta 94.99
_cell_angle_gamma 120.02
loop_
_space_group_symop_operation_xyz
'x,y,z'
loop_
_atom_site_label
_atom_site_fract_x
_atom_site_fract_y
_atom_site_fract_z
Tb1 0.000 0.000 0.000
Tb2 0.333 0.667 0.000
Tb3 0.667 0.333 0.000
Nd1 0.166 0.834 0.500
Nd2 0.834 0.166 0.500
Ho1 0.090 0.417 0.250
Ho2 0.256 0.256 0.751
Ho3 0.417 0.090 0.250
Ho4 0.583 0.910 0.750
Ho5 0.744 0.744 0.249
Ho6 0.910 0.583 0.750
Pb1 0.500 0.500 0.500


What is the formula in the first record? NaZnBi3


Which value of raw total energy does entry 1 give? -2.1428 eV/atom